An optimized crystal structure of PtPb2N2, computed with PBE.

Cell: 3.4693 3.4693 11.9420 Å, 72.64 72.64 89.92°
Last column: nearest neighbours and their distance in Å.
Fractional positions:
Pt 0.0000 0.0000 0.0000  8 Pb 2.98
Pb 0.3394 0.3394 0.1567  4 Pt 2.98
Pb 0.6606 0.6606 0.8433  4 Pt 2.98
N 0.5497 0.5497 0.4485  1 N 1.12
N 0.4503 0.4503 0.5515  1 N 1.12

The uncorrected energy comes out at -6.05 eV per atom. The calculation puts the mass density at 8.12 g/cm³. The value obtained for the spin magnetization is 0.0 μB per formula unit. As for the density of states at the Fermi level: 1.2 states/eV/f.u. The value obtained for the formation energy from raw total energies is -0.03 eV/atom.

=====

An optimized crystal structure of CsKNd2I8, computed with PBE.

Cell: 8.5090 8.5090 9.5840 Å, 90.00 90.00 120.00°
Last column: nearest neighbours and their distance in Å.
Fractional positions:
Cs 0.0000 0.0000 0.5000  12 I 4.50-4.99, 2 K 4.79
K 0.0000 0.0000 0.0000  6 I 3.42
Nd 0.6667 0.3333 0.0894  7 I 3.04-3.32
Nd 0.3333 0.6667 0.9106  7 I 3.04-3.32
I 0.9389 0.6125 0.8438  2 Nd 3.22-3.32, 1 K 3.42
I 0.3875 0.3264 0.8438  2 Nd 3.22-3.32, 1 K 3.42
I 0.6736 0.0611 0.8438  2 Nd 3.22-3.32, 1 K 3.42
I 0.0611 0.3875 0.1562  2 Nd 3.22-3.32, 1 K 3.42
I 0.6125 0.6736 0.1562  2 Nd 3.22-3.32, 1 K 3.42
I 0.3264 0.9389 0.1562  2 Nd 3.22-3.32, 1 K 3.42
I 0.6667 0.3333 0.4066  1 Nd 3.04
I 0.3333 0.6667 0.5934  1 Nd 3.04

The uncorrected energy comes out at -3.38 eV per atom. The calculation puts the mass density at 4.08 g/cm³. The value obtained for the spin magnetization is 0.0 μB per formula unit. As for the density of states at the Fermi level: 0.0 states/eV/f.u. The value obtained for the formation energy from raw total energies is -1.39 eV/atom.

=====

An optimized crystal structure of YAuS, computed with PBE.

Cell: 4.5992 4.5992 8.1475 Å, 73.61 73.61 60.00°
Last column: nearest neighbours and their distance in Å.
Fractional positions:
Y 0.5895 0.5895 0.2314  4 S 2.76-2.81
Y 0.4105 0.4105 0.7686  4 S 2.76-2.81
S 0.2890 0.2890 0.1329  4 Y 2.76-2.81, 1 Au 2.97
S 0.7110 0.7110 0.8671  4 Y 2.76-2.81, 1 Au 2.97
Au 0.8396 0.8396 0.4811  3 Au 2.67, 1 S 2.97
Au 0.1604 0.1604 0.5189  3 Au 2.67, 1 S 2.97

The uncorrected energy comes out at -5.92 eV per atom. The calculation puts the mass density at 7.48 g/cm³. The value obtained for the spin magnetization is 0.0 μB per formula unit. As for the density of states at the Fermi level: 0.7 states/eV/f.u. The value obtained for the formation energy from raw total energies is -1.29 eV/atom.

=====

An optimized crystal structure of RbPaO3, computed with PBE.

Cell: 4.4093 4.4093 4.4093 Å, 90.00 90.00 90.00°
Last column: nearest neighbours and their distance in Å.
Fractional positions:
Rb 0.5000 0.5000 0.5000  12 O 3.12
Pa 0.0000 0.0000 0.0000  6 O 2.20
O 0.5000 0.0000 0.0000  2 Pa 2.20
O 0.0000 0.5000 0.0000  2 Pa 2.20
O 0.0000 0.0000 0.5000  2 Pa 2.20

The uncorrected energy comes out at -8.19 eV per atom. The calculation puts the mass density at 7.06 g/cm³. The value obtained for the spin magnetization is 0.0 μB per formula unit. As for the density of states at the Fermi level: 0.0 states/eV/f.u. The value obtained for the formation energy from raw total energies is -3.12 eV/atom.

=====

An optimized crystal structure of KBaAsO4, computed with PBE.

Cell: 6.0684 6.0684 8.0071 Å, 90.00 90.00 117.18°
Last column: nearest neighbours and their distance in Å.
Fractional positions:
K 0.5000 0.5000 0.5000  6 O 2.71-2.72
K 0.5000 0.5000 0.0000  6 O 2.71-2.72
Ba 0.8133 0.1867 0.2500  4 O 2.69-2.79
Ba 0.1867 0.8133 0.7500  4 O 2.69-2.79
As 0.1468 0.8532 0.2500  4 O 1.72-1.73
As 0.8532 0.1468 0.7500  4 O 1.72-1.73
O 0.1726 0.2669 0.7500  1 As 1.73
O 0.7331 0.8274 0.7500  1 As 1.73
O 0.7549 0.2451 0.9232  1 As 1.72
O 0.7549 0.2451 0.5768  1 As 1.72
O 0.2451 0.7549 0.0768  1 As 1.72
O 0.2451 0.7549 0.4232  1 As 1.72
O 0.8274 0.7331 0.2500  1 As 1.73
O 0.2669 0.1726 0.2500  1 As 1.73

The uncorrected energy comes out at -5.95 eV per atom. The energy above the lowest structure with this stoichiometry is 54.0 meV per atom. The calculation puts the mass density at 3.99 g/cm³. The value obtained for the spin magnetization is 0.0 μB per formula unit. As for the density of states at the Fermi level: 0.0 states/eV/f.u. The value obtained for the formation energy from raw total energies is -2.02 eV/atom.

=====

An optimized crystal structure of CePrTl, computed with PBE.

Cell: 3.5958 3.5958 16.8752 Å, 90.00 90.00 120.00°
Last column: nearest neighbours and their distance in Å.
Fractional positions:
Ce 0.6667 0.3333 0.2792  3 Tl 3.42, 3 Pr 3.59, 6 Ce 3.60
Ce 0.3333 0.6667 0.7792  3 Tl 3.42, 3 Pr 3.59, 6 Ce 3.60
Tl 0.0000 0.0000 0.6179  3 Ce 3.42, 3 Pr 3.47, 6 Tl 3.60
Tl 0.0000 0.0000 0.1179  3 Ce 3.42, 3 Pr 3.47, 6 Tl 3.60
Pr 0.6667 0.3333 0.9529  3 Tl 3.47, 3 Ce 3.59, 6 Pr 3.60
Pr 0.3333 0.6667 0.4529  3 Tl 3.47, 3 Ce 3.59, 6 Pr 3.60

The uncorrected energy comes out at -4.40 eV per atom. The energy above the lowest structure with this stoichiometry is 96.2 meV per atom. The value obtained for the energy of formation from the pure elements is -35.2 meV/atom. The calculation puts the mass density at 8.53 g/cm³. The value obtained for the spin magnetization is 1.1 μB per formula unit. As for the density of states at the Fermi level: 6.3 states/eV/f.u.

=====

An optimized crystal structure of BeIr2, computed with PBE.

Cell: 4.0428 4.0428 2.7271 Å, 90.00 90.00 120.00°
Last column: nearest neighbours and their distance in Å.
Fractional positions:
Be 0.0000 0.0000 0.0000  6 Ir 2.43
Ir 0.6667 0.3333 0.7497  3 Be 2.43, 6 Ir 2.70
Ir 0.3333 0.6667 0.2501  3 Be 2.43, 6 Ir 2.70

The uncorrected energy comes out at -7.21 eV per atom. The value obtained for the energy of formation from the pure elements is -59.8 meV/atom. The calculation puts the mass density at 16.93 g/cm³. The value obtained for the spin magnetization is 0.0 μB per formula unit. As for the density of states at the Fermi level: 2.7 states/eV/f.u.

=====

An optimized crystal structure of NaGeIN2, computed with PBE.

Cell: 3.9303 3.9303 6.5802 Å, 90.00 90.00 90.00°
Last column: nearest neighbours and their distance in Å.
Fractional positions:
I 0.0000 0.0000 0.5000  4 Na 2.78
Na 0.5000 0.5000 0.5000  4 I 2.78
Ge 0.0000 0.0000 0.0000  4 N 1.97
N 0.0000 0.5000 0.0000  2 Ge 1.97
N 0.5000 0.0000 0.0000  2 Ge 1.97

The uncorrected energy comes out at -4.03 eV per atom. The energy above the lowest structure with this stoichiometry is 0.0 meV per atom. The calculation puts the mass density at 4.09 g/cm³. The value obtained for the spin magnetization is 1.3 μB per formula unit. As for the density of states at the Fermi level: 3.0 states/eV/f.u. The value obtained for the formation energy from raw total energies is 0.80 eV/atom.

=====

An optimized crystal structure of LiHfB, computed with PBE.

Cell: 6.7589 5.1665 4.1287 Å, 90.00 90.00 90.00°
Last column: nearest neighbours and their distance in Å.
Fractional positions:
B 0.0000 0.0000 0.0000  2 Li 2.42, 2 B 2.58, 6 Hf 2.64-2.68
B 0.5000 0.5000 0.5000  2 Li 2.42, 2 B 2.58, 6 Hf 2.64-2.68
B 0.5000 0.0000 0.5000  2 Li 2.42, 2 B 2.58, 6 Hf 2.64-2.68
B 0.0000 0.5000 0.0000  2 Li 2.42, 2 B 2.58, 6 Hf 2.64-2.68
Hf 0.3476 0.2500 0.9999  3 Li 2.30-2.36
Hf 0.1524 0.7500 0.4999  3 Li 2.30-2.36
Hf 0.6524 0.7500 0.0001  3 Li 2.30-2.36
Hf 0.8476 0.2500 0.5001  3 Li 2.30-2.36
Li 0.6974 0.2500 0.0001  3 Hf 2.30-2.36, 2 B 2.42
Li 0.8026 0.7500 0.5001  3 Hf 2.30-2.36, 2 B 2.42
Li 0.3026 0.7500 0.9999  3 Hf 2.30-2.36, 2 B 2.42
Li 0.1974 0.2500 0.4999  3 Hf 2.30-2.36, 2 B 2.42

The uncorrected energy comes out at -5.78 eV per atom. The energy above the lowest structure with this stoichiometry is 756.2 meV per atom. The value obtained for the energy of formation from the pure elements is 400.4 meV/atom. The calculation puts the mass density at 9.04 g/cm³. The value obtained for the spin magnetization is 0.0 μB per formula unit. As for the density of states at the Fermi level: 0.3 states/eV/f.u.

=====

An optimized crystal structure of La2MgInIr, computed with PBE.

Cell: 5.5141 5.5141 5.1313 Å, 90.00 90.00 90.00°
Last column: nearest neighbours and their distance in Å.
Fractional positions:
Mg 0.0000 0.0000 0.5000  2 Ir 2.57
Ir 0.0000 0.0000 0.0000  2 Mg 2.57, 4 La 2.76
In 0.5000 0.5000 0.5000  8 La 3.77, 4 Mg 3.90
La 0.0000 0.5000 0.0000  2 Ir 2.76
La 0.5000 0.0000 0.0000  2 Ir 2.76

The uncorrected energy comes out at -5.05 eV per atom. The energy above the lowest structure with this stoichiometry is 0.0 meV per atom. The value obtained for the energy of formation from the pure elements is -443.4 meV/atom. The calculation puts the mass density at 6.48 g/cm³. The value obtained for the spin magnetization is 0.0 μB per formula unit. As for the density of states at the Fermi level: 4.3 states/eV/f.u.

=====

An optimized crystal structure of CrGaOs, computed with PBE.

Cell: 2.9276 2.9276 5.1172 Å, 106.62 106.62 90.00°
Last column: nearest neighbours and their distance in Å.
Fractional positions:
Cr 0.3305 0.3305 0.6610  4 Os 2.54, 4 Ga 2.58
Os 0.6741 0.6741 0.3482  4 Cr 2.54, 4 Ga 2.66
Ga 0.9954 0.9954 0.9908  4 Cr 2.58, 4 Os 2.66

The uncorrected energy comes out at -7.99 eV per atom. The value obtained for the energy of formation from the pure elements is -26.9 meV/atom. The calculation puts the mass density at 12.91 g/cm³. The value obtained for the spin magnetization is 0.0 μB per formula unit. As for the density of states at the Fermi level: 2.9 states/eV/f.u.

=====

An optimized crystal structure of MnCoOs2, computed with PBE.

Cell: 3.6537 2.6280 5.8977 Å, 63.47 90.00 90.00°
Last column: nearest neighbours and their distance in Å.
Fractional positions:
Co 0.5000 0.2500 0.2500  8 Os 2.61, 2 Co 2.63, 2 Mn 2.64
Mn 0.5000 0.7500 0.7500  8 Os 2.61, 2 Mn 2.63, 2 Co 2.64
Os 0.0000 0.9992 0.0011  4 Co 2.61, 4 Mn 2.61, 4 Os 2.63-2.65
Os 0.0000 0.5008 0.4989  4 Co 2.61, 4 Mn 2.61, 4 Os 2.63-2.65

The uncorrected energy comes out at -9.56 eV per atom. The energy above the lowest structure with this stoichiometry is 58.1 meV per atom. The value obtained for the energy of formation from the pure elements is 122.4 meV/atom. The calculation puts the mass density at 16.20 g/cm³. The value obtained for the spin magnetization is 0.4 μB per formula unit. As for the density of states at the Fermi level: 5.2 states/eV/f.u.